Material: Rb2InReCl6
Method: DFT, PBE
State: relaxed

POSCAR file:
```
Rb2InReCl6
1.0
-5.493 -5.136 1.306
2.421 -0.760 7.198
-4.869 1.008 5.791
Re Cl Rb In
1 6 2 1
Direct
0.000 0.000 0.000
0.223 0.223 0.553
0.777 0.777 0.447
0.223 0.223 0.000
0.777 0.777 0.000
0.777 0.223 0.000
0.223 0.777 0.000
0.750 0.250 0.500
0.250 0.750 0.500
0.500 0.500 0.000
```

Calculated values
Raw total energy   -3.90 eV/atom
Formation energy (no corrections)   -1081 meV per atom
Symmetry   Fm-3m, No. 225
Calculated volume   31.44 Å³/atom

Material: Y2Ga8Au
Method: DFT, PBE
State: relaxed

POSCAR file:
```
Y2Ga8Au
1.0
4.393 0.000 0.000
0.000 4.393 0.000
0.000 0.000 11.268
Y Au Ga
2 1 8
Direct
0.000 0.000 0.313
0.000 0.000 0.687
0.000 0.000 0.000
0.000 0.500 0.500
0.500 0.000 0.500
0.500 0.500 0.309
0.500 0.500 0.691
0.000 0.500 0.134
0.500 0.000 0.134
0.000 0.500 0.866
0.500 0.000 0.866
```

Calculated values
Raw total energy   -4.09 eV/atom
E_form   -0.419 eV per atom
Symmetry   P4/mmm, No. 123
Calculated volume   19.76 Å³/atom

Material: V4CrSe8
Method: DFT, PBE
State: relaxed

POSCAR file:
```
V4CrSe8
1.0
6.187 0.000 -3.338
-3.994 5.785 0.000
0.084 0.058 7.558
V Cr Se
4 1 8
Direct
0.000 0.000 0.000
0.000 0.500 0.000
0.500 0.500 0.000
0.500 0.000 0.000
0.000 0.500 0.500
0.490 0.745 0.236
0.510 0.255 0.764
0.496 0.248 0.242
0.006 0.255 0.758
0.504 0.752 0.758
0.006 0.752 0.758
0.994 0.248 0.242
0.994 0.745 0.242
```

Calculated values
Raw total energy   -6.28 eV/atom
Excess energy over the best structure of this formula in the dataset   41 meV/atom
Formation energy (no corrections)   -592 meV per atom
Symmetry   R-3m, No. 166
Calculated volume   20.99 Å³/atom